Entry i
Here is a relaxed structure of KTcSbTe2 from Alexandria. Energies are from PBE-GGA.

Lattice parameters (Å, degrees): 5.5497 5.5497 5.1838 90.00 90.00 90.00
Each line ends with the local moment (μB).
Atoms (fractional coordinates):
K 0.5000 0.5000 0.5000  0.01
Sb 0.0000 0.0000 0.5000  -0.07
Te 0.0000 0.5000 0.0000  0.16
Te 0.5000 0.0000 0.0000  0.16
Tc 0.0000 0.0000 0.0000  1.75

- V (Å³ per atom) = 31.93
- ρ (g/cm3) = 5.35

***

Entry ii
Here is a relaxed structure of KTcSbTe2 from Alexandria. Energies are from PBE-GGA.

Lattice parameters (Å, degrees): 5.8165 5.8165 5.6444 90.00 90.00 90.00
Each line ends with the local moment (μB).
Atoms (fractional coordinates):
Sb 0.0000 0.0000 0.5000  -0.11
Te 0.5000 0.0000 0.0000  -0.05
Te 0.0000 0.5000 0.0000  -0.05
K 0.0000 0.0000 0.0000  -0.01
Tc 0.5000 0.5000 0.5000  0.14

- V (Å³ per atom) = 38.19
- ρ (g/cm3) = 4.47

***

Most stable one: entry i, least stable one: entry ii.

***

Entry i
Here is a relaxed structure of KTcSb2Te from Alexandria. Energies are from PBE-GGA.

Lattice parameters (Å, degrees): 5.5876 5.5876 5.6968 90.00 90.00 90.00
Each line ends with the local moment (μB).
Atoms (fractional coordinates):
Tc 0.5000 0.5000 0.5000  0.02
Sb 0.0000 0.5000 0.0000  0.05
Sb 0.5000 0.0000 0.0000  0.05
Te 0.0000 0.0000 0.5000  0.01
K 0.0000 0.0000 0.0000  0.02

- V (Å³ per atom) = 35.57
- ρ (g/cm3) = 4.74

***

Entry ii
Here is a relaxed structure of KTcSb2Te from Alexandria. Energies are from PBE-GGA.

Lattice parameters (Å, degrees): 5.1274 5.1274 6.0312 90.00 90.00 90.00
Each line ends with the local moment (μB).
Atoms (fractional coordinates):
Tc 0.0000 0.0000 0.0000  0.72
K 0.5000 0.5000 0.5000  0.00
Sb 0.0000 0.5000 0.0000  -0.01
Sb 0.5000 0.0000 0.0000  -0.01
Te 0.0000 0.0000 0.5000  0.10

- V (Å³ per atom) = 31.71
- ρ (g/cm3) = 5.32

***

Most stable one: entry ii, least stable one: entry i.

***

Entry i
Here is a relaxed structure of KSbTe3 from Alexandria. Energies are from PBE-GGA.

Lattice parameters (Å, degrees): 9.6519 7.6656 6.0948 89.99 90.01 89.99
Atoms (fractional coordinates):
K 0.6183 0.1515 0.7008
K 0.1180 0.2014 0.2004
Te 0.8543 0.5033 0.9503
Te 0.3541 0.8495 0.4503
Te 0.4756 0.3165 0.2007
Te 0.8545 0.5031 0.4514
Te 0.3542 0.8496 0.9515
Te 0.9758 0.0363 0.7004
Sb 0.0759 0.7004 0.7009
Sb 0.5757 0.6523 0.2010

- V (Å³ per atom) = 45.09
- ρ (g/cm3) = 4.00

***

Entry ii
Here is a relaxed structure of KSbTe3 from Alexandria. Energies are from PBE-GGA.

Lattice parameters (Å, degrees): 5.9188 5.9188 5.9188 90.00 90.00 90.00
Atoms (fractional coordinates):
K 0.0000 0.0000 0.0000
Te 0.0000 0.0000 0.5000
Te 0.0000 0.5000 0.0000
Te 0.5000 0.0000 0.0000
Sb 0.5000 0.5000 0.5000

- V (Å³ per atom) = 41.47
- ρ (g/cm3) = 4.35

***

Most stable one: entry i, least stable one: entry ii.

***

Entry i
Here is a relaxed structure of K2Sb2Te5 from Alexandria. Energies are from PBE-GGA.

Lattice parameters (Å, degrees): 6.0476 8.0808 9.6649 120.48 108.33 89.98
Atoms (fractional coordinates):
Te 0.0912 0.5731 0.1817
Te 0.9088 0.4269 0.8183
Te 0.3170 0.9319 0.6318
Te 0.0000 0.0000 0.0000
Te 0.6830 0.0681 0.3682
K 0.5582 0.2987 0.1163
K 0.4418 0.7013 0.8837
Sb 0.1650 0.9851 0.3279
Sb 0.8350 0.0149 0.6721

- V (Å³ per atom) = 42.11
- ρ (g/cm3) = 4.21

***

Entry ii
Here is a relaxed structure of K2Sb2Te5 from Alexandria. Energies are from PBE-GGA.

Lattice parameters (Å, degrees): 5.6306 8.2693 9.3205 105.11 90.00 109.90
Atoms (fractional coordinates):
K 0.6037 0.2074 0.3462
K 0.3963 0.7926 0.6538
Te 0.0000 0.0000 0.0000
Te 0.3753 0.7506 0.0309
Te 0.1518 0.3036 0.5864
Te 0.8482 0.6964 0.4136
Te 0.6247 0.2494 0.9691
Sb 0.8278 0.6555 0.1159
Sb 0.1722 0.3445 0.8841

- V (Å³ per atom) = 43.56
- ρ (g/cm3) = 4.06

***

Most stable one: entry i, least stable one: entry ii.